Record 1
Compound: PmGdCdHg
Source: the Alexandria database
Functional: PBE
Structure: optimized geometry

Cell lengths 5.363, 5.363, 5.363 Å; angles 60.00, 60.00, 60.00 degrees
Fractional coordinates of all 4 atoms:
Cd  0.250  0.250  0.250
Gd  0.500  0.500  0.500
Hg  0.750  0.750  0.750
Pm  0.000  0.000  0.000

Properties
Its space group is F-43m (216). The calculation puts the volume at 27.3 Å³/atom. Its formation energy is -0.414 eV per atom. As for the crystal system: cubic.



Record 2
Compound: BaYIn
Source: the Alexandria database
Functional: PBE
Structure: optimized geometry

Cell lengths 5.486, 5.486, 5.486 Å; angles 60.00, 60.00, 60.00 degrees
Fractional coordinates of all 3 atoms:
Ba  0.750  0.750  0.750
In  0.000  0.000  0.000
Y  0.500  0.500  0.500

Properties
Its space group is F-43m (216). The calculation puts the volume at 38.9 Å³/atom. Its formation energy is 0.486 eV per atom. As for the crystal system: cubic.